[1]
! MnNiCl | the Alexandria database | GGA-PBEsol | relaxed; values from VASP
&SYSTEM
  ibrav = 0, nat = 3, ntyp = 3
/
ATOMIC_SPECIES
Mn 54.94 Mn.upf
Cl 35.45 Cl.upf
Ni 58.69 Ni.upf
ATOMIC_POSITIONS crystal
Mn 0.333 0.667 0.657
Cl 0.000 0.000 0.986
Ni 0.667 0.333 0.357
CELL_PARAMETERS angstrom
-0.746 -2.187 -2.003
0.717 -0.743 2.878
-5.161 0.471 1.407
! crystal system = trigonal
! formation energy from raw total energies = 99 meV per atom

---

[2]
! MnRe2Ni | the Alexandria database | GGA-PBEsol | relaxed; values from VASP
&SYSTEM
  ibrav = 0, nat = 4, ntyp = 3
/
ATOMIC_SPECIES
Ni 58.69 Ni.upf
Re 186.21 Re.upf
Mn 54.94 Mn.upf
ATOMIC_POSITIONS crystal
Ni 0.751 0.502 0.252
Re 0.003 0.006 0.017
Re 0.246 0.491 0.736
Mn 0.500 0.001 0.496
CELL_PARAMETERS angstrom
-0.409 2.578 0.333
-1.924 -1.143 -3.911
-3.466 -0.910 2.788
! crystal system = monoclinic

---

no.,density (g cm⁻³),relative energy among the computed polymorphs (meV per atom)
1,5.69,0
2,15.89,26